MnTl2Se | PBE | optimized geometry

The space group is Immm (No. 71) and the conventional cell measures 3.4892, 3.7537 and 16.1454 Å, with angles of 90.00, 90.00 and 90.00 degrees. The inequivalent atoms are Mn at (0.0000, 0.0000, 0.0000), Tl at (0.0000, 0.5000, 0.3265) and Se at (0.0000, 0.0000, 0.5000).

The uncorrected formation energy is -0.17 eV/f.u.

***

AcPt2Au2 | PBE | optimized geometry

The space group is I4/mmm (No. 139) and the conventional cell measures 4.2124, 4.2124 and 24.9546 Å, with angles of 90.00, 90.00 and 90.00 degrees. The inequivalent atoms are Ac at (0.0000, 0.0000, 0.1244), Pt at (0.0000, 0.0000, 0.4264), Pt at (0.0000, 0.5000, 0.2500), Au at (0.0000, 0.0000, 0.3213) and Au at (0.0000, 0.5000, 0.0000).

The value obtained for the formation enthalpy at 0 K is -593 meV/atom.

***

LiTmIn4 | PBE | optimized geometry

The space group is P4/mmm (No. 123) and the conventional cell measures 4.5090, 4.5090 and 7.7843 Å, with angles of 90.00, 90.00 and 90.00 degrees. The inequivalent atoms are Li at (0.0000, 0.0000, 0.0000), Tm at (0.5000, 0.5000, 0.5000) and In at (0.0000, 0.5000, 0.2117).

The value obtained for the formation enthalpy at 0 K is -62 meV/atom.

***

VTeAsW2 | PBE | optimized geometry

The space group is P4/mmm (No. 123) and the conventional cell measures 4.6201, 4.6201 and 5.2868 Å, with angles of 90.00, 90.00 and 90.00 degrees. The inequivalent atoms are V at (0.0000, 0.0000, 0.0000), Te at (0.5000, 0.5000, 0.0000), As at (0.5000, 0.5000, 0.5000) and W at (0.0000, 0.5000, 0.5000).

The uncorrected formation energy is 9.80 eV/f.u.

***

Tb2Pu2N3 | PBE | optimized geometry

The space group is C2/c (No. 15) and the conventional cell measures 16.5278, 11.3485 and 5.9479 Å, with angles of 90.00, 110.21 and 90.00 degrees. The inequivalent atoms are Tb at (0.0000, 0.0815, 0.2500), Tb at (0.0000, 0.2044, 0.7500), Tb at (0.0910, 0.4182, 0.0373), Pu at (0.1644, 0.2591, 0.5660), Pu at (0.1827, 0.0684, 0.0814), N at (0.0677, 0.3859, 0.6300), N at (0.0992, 0.0760, 0.6719) and N at (0.1050, 0.2160, 0.1711).

The uncorrected formation energy is -6.81 eV/f.u.

***

Rb8Br3Cl3O | PBE | optimized geometry

The space group is R-3m (No. 166, hexagonal axes) and the conventional cell measures 9.5244, 9.5244 and 23.9055 Å, with angles of 90.00, 90.00 and 120.00 degrees. The inequivalent atoms are Rb at (0.0000, 0.0000, 0.2458), Rb at (0.0533, 0.5267, 0.2335), Br at (0.0000, 0.5000, 0.0000), Cl at (0.0000, 0.5000, 0.5000) and O at (0.0000, 0.0000, 0.5000).

The uncorrected formation energy is -25.04 eV/f.u.

***

Li6Cd2Ga | PBE | optimized geometry

The space group is R-3m (No. 166, hexagonal axes) and the conventional cell measures 7.9747, 7.9747 and 8.3852 Å, with angles of 90.00, 90.00 and 120.00 degrees. The inequivalent atoms are Li at (0.0000, 0.3354, 0.0000), Cd at (0.0000, 0.0000, 0.1710) and Ga at (0.0000, 0.0000, 0.5000).

The value obtained for the formation enthalpy at 0 K is -213 meV/atom.

***

NdCdRh | PBE | optimized geometry

The space group is Cmcm (No. 63) and the conventional cell measures 3.9374, 17.6070 and 4.0539 Å, with angles of 90.00, 90.00 and 90.00 degrees. The inequivalent atoms are Nd at (0.0000, 0.0951, 0.2500), Cd at (0.0000, 0.2909, 0.2500) and Rh at (0.0000, 0.4497, 0.2500).

The value obtained for the formation enthalpy at 0 K is -543 meV/atom.

***

LaCuPH | PBE | optimized geometry

The space group is P4/nmm (No. 129, origin choice 2) and the conventional cell measures 3.9642, 3.9642 and 8.0756 Å, with angles of 90.00, 90.00 and 90.00 degrees. The inequivalent atoms are La at (0.2500, 0.2500, 0.1823), Cu at (0.2500, 0.7500, 0.5000), P at (0.2500, 0.2500, 0.6741) and H at (0.2500, 0.7500, 0.0000).

***

ZrReAs2 | PBE | optimized geometry

The space group is Pmmm (No. 47) and the conventional cell measures 3.4752, 4.0249 and 5.0165 Å, with angles of 90.00, 90.00 and 90.00 degrees. The inequivalent atoms are Zr at (0.0000, 0.0000, 0.0000), Re at (0.5000, 0.0000, 0.5000), As at (0.0000, 0.5000, 0.5000) and As at (0.5000, 0.5000, 0.0000).

The value obtained for the formation enthalpy at 0 K is 24 meV/atom.

***

SrIn2Te2 | PBE | optimized geometry

The space group is I4/mmm (No. 139) and the conventional cell measures 4.3884, 4.3884 and 17.4689 Å, with angles of 90.00, 90.00 and 90.00 degrees. The inequivalent atoms are Sr at (0.0000, 0.0000, 0.0000), In at (0.0000, 0.5000, 0.2500) and Te at (0.0000, 0.0000, 0.4054).

The uncorrected formation energy is -3.10 eV/f.u.

***

TiOsRh2O | PBE | optimized geometry

The space group is P4/mmm (No. 123) and the conventional cell measures 4.5048, 4.5048 and 4.6679 Å, with angles of 90.00, 90.00 and 90.00 degrees. The inequivalent atoms are Ti at (0.0000, 0.0000, 0.0000), Os at (0.0000, 0.0000, 0.5000), Rh at (0.0000, 0.5000, 0.0000) and O at (0.5000, 0.5000, 0.5000).

The uncorrected formation energy is 8.95 eV/f.u.

***

The evaluated total DFT energy (no corrections) for the records listed, in turn: -4.389; -5.142; -2.952; -6.604; -9.959; -3.220; -2.029; -4.888; -5.306; -7.550; -3.308; -5.968 eV per atom.